[1]
The following is a PBE-GGA calculation of an optimized crystal structure of NaTl3Se, from Alexandria.

Computed properties:
uncorrected formation energy	0.064	eV/atom
M_tot	0.0	μB per formula unit
mass density	5.517	Mg/m³
total energy	-11.6	eV per cell
energy relative to the lowest polymorph listed for this composition	0.000	eV/atom

Cell lengths 5.993, 5.993, 5.993 Å; angles 90.00, 90.00, 90.00 degrees
Atoms (fractional coordinates):
1 Na 0.000 0.000 0.000
2 Tl 0.000 0.500 0.500
3 Tl 0.500 0.000 0.500
4 Tl 0.500 0.500 0.000
5 Se 0.500 0.500 0.500


[2]
The following is a PBE-GGA calculation of an optimized crystal structure of NaIn4I5, from Alexandria.

Computed properties:
uncorrected formation energy	-0.611	eV/atom
M_tot	0.0	μB per formula unit
mass density	4.459	Mg/m³
total energy	-26.1	eV per cell

Cell lengths 8.480, 8.480, 8.480 Å; angles 99.67, 99.67, 131.61 degrees
Atoms (fractional coordinates):
1 Na 0.000 0.000 0.000
2 In 0.197 0.597 0.800
3 In 0.397 0.197 0.600
4 In 0.597 0.797 0.400
5 In 0.797 0.397 0.200
6 I 0.096 0.279 0.381
7 I 0.279 0.898 0.183
8 I 0.498 0.498 0.000
9 I 0.715 0.096 0.817
10 I 0.898 0.715 0.619


[3]
The following is a PBE-GGA calculation of an optimized crystal structure of Pm4Te3O2, from Alexandria.

Computed properties:
uncorrected formation energy	-2.163	eV/atom
M_tot	0.0	μB per formula unit
mass density	7.203	Mg/m³
total energy	-57.8	eV per cell
energy relative to the lowest polymorph listed for this composition	0.000	eV/atom

Cell lengths 7.236, 7.236, 9.208 Å; angles 118.31, 118.31, 33.20 degrees
Atoms (fractional coordinates):
1 Pm 0.124 0.124 0.414
2 Pm 0.314 0.314 0.886
3 Pm 0.686 0.686 0.114
4 Pm 0.876 0.876 0.586
5 Te 0.000 0.000 0.000
6 Te 0.387 0.387 0.284
7 Te 0.613 0.613 0.716
8 O 0.309 0.309 0.623
9 O 0.691 0.691 0.377


[4]
The following is a PBE-GGA calculation of an optimized crystal structure of YCd2W, from Alexandria.

Computed properties:
M_tot	0.0	μB per formula unit
mass density	9.603	Mg/m³
energy relative to the elements	0.421	eV per atom
total energy	-19.6	eV per cell
energy relative to the lowest polymorph listed for this composition	0.110	eV/atom

Cell lengths 3.096, 4.316, 6.439 Å; angles 90.00, 90.00, 90.00 degrees
Atoms (fractional coordinates):
1 Y 0.000 0.000 0.000
2 Cd 0.000 0.000 0.523
3 Cd 0.500 0.500 0.284
4 W 0.500 0.500 0.759


[5]
The following is a PBE-GGA calculation of an optimized crystal structure of LaPr6In5, from Alexandria.

Computed properties:
M_tot	0.0	μB per formula unit
mass density	7.040	Mg/m³
energy relative to the elements	-0.392	eV per atom
total energy	-52.0	eV per cell

Cell lengths 9.387, 9.387, 9.387 Å; angles 148.08, 121.63, 68.08 degrees
Atoms (fractional coordinates):
1 La 0.000 0.000 0.000
2 Pr 0.092 0.829 0.263
3 Pr 0.272 0.500 0.772
4 Pr 0.435 0.171 0.263
5 Pr 0.565 0.829 0.737
6 Pr 0.728 0.500 0.228
7 Pr 0.908 0.171 0.737
8 In 0.154 0.654 0.500
9 In 0.325 0.325 0.000
10 In 0.500 0.000 0.500
11 In 0.675 0.675 0.000
12 In 0.846 0.346 0.500


[6]
The following is a PBE-GGA calculation of an optimized crystal structure of La2NdCo2, from Alexandria.

Computed properties:
M_tot	0.7	μB per formula unit
mass density	7.057	Mg/m³
energy relative to the elements	-0.028	eV per atom
total energy	-29.0	eV per cell
energy relative to the lowest polymorph listed for this composition	0.020	eV/atom

Cell lengths 7.732, 7.732, 4.154 Å; angles 90.00, 90.00, 149.23 degrees
Atoms (fractional coordinates):
1 La 0.148 0.852 0.000
2 La 0.852 0.148 0.000
3 Nd 0.500 0.500 0.500
4 Co 0.289 0.711 0.500
5 Co 0.711 0.289 0.500


[7]
The following is a PBE-GGA calculation of an optimized crystal structure of KBiAu4, from Alexandria.

Computed properties:
M_tot	0.0	μB per formula unit
mass density	12.721	Mg/m³
energy relative to the elements	-0.141	eV per atom
total energy	-18.9	eV per cell

Cell lengths 5.761, 5.761, 5.761 Å; angles 60.00, 60.00, 60.00 degrees
Atoms (fractional coordinates):
1 K 0.000 0.000 0.000
2 Bi 0.250 0.250 0.250
3 Au 0.125 0.625 0.625
4 Au 0.625 0.125 0.625
5 Au 0.625 0.625 0.125
6 Au 0.625 0.625 0.625


[8]
The following is a PBE-GGA calculation of an optimized crystal structure of Mg6Zn5Au, from Alexandria.

Computed properties:
M_tot	0.0	μB per formula unit
mass density	5.132	Mg/m³
energy relative to the elements	-0.176	eV per atom
total energy	-21.3	eV per cell

Cell lengths 4.858, 6.214, 7.416 Å; angles 90.00, 104.49, 90.00 degrees
Atoms (fractional coordinates):
1 Mg 0.000 0.247 0.000
2 Mg 0.000 0.753 0.000
3 Mg 0.378 0.250 0.675
4 Mg 0.378 0.750 0.675
5 Mg 0.622 0.250 0.325
6 Mg 0.622 0.750 0.325
7 Zn 0.123 0.500 0.343
8 Zn 0.126 0.000 0.350
9 Zn 0.500 0.500 0.000
10 Zn 0.874 0.000 0.650
11 Zn 0.877 0.500 0.657
12 Au 0.500 0.000 0.000


[9]
The following is a PBE-GGA calculation of an optimized crystal structure of ThAl2Cu5, from Alexandria.

Computed properties:
M_tot	0.0	μB per formula unit
mass density	7.721	Mg/m³
energy relative to the elements	-0.170	eV per atom
total energy	-36.7	eV per cell

Cell lengths 6.296, 6.296, 6.296 Å; angles 143.88, 115.57, 76.15 degrees
Atoms (fractional coordinates):
1 Th 0.000 0.000 0.000
2 Al 0.256 0.756 0.500
3 Al 0.744 0.244 0.500
4 Cu 0.185 0.370 0.815
5 Cu 0.445 0.630 0.815
6 Cu 0.500 0.000 0.500
7 Cu 0.555 0.370 0.185
8 Cu 0.815 0.630 0.185


[10]
The following is a PBE-GGA calculation of an optimized crystal structure of Ti2HS, from Alexandria.

Computed properties:
M_tot	0.0	μB per formula unit
mass density	4.453	Mg/m³
total energy	-52.3	eV per cell
energy relative to the lowest polymorph listed for this composition	0.146	eV/atom

Cell lengths 4.997, 4.997, 4.997 Å; angles 109.64, 109.64, 109.14 degrees
Atoms (fractional coordinates):
1 Ti 0.049 0.125 0.424
2 Ti 0.375 0.951 0.076
3 Ti 0.701 0.625 0.576
4 Ti 0.875 0.299 0.924
5 H 0.000 0.000 0.000
6 H 0.750 0.250 0.500
7 S 0.250 0.750 0.500
8 S 0.500 0.500 0.000


[11]
The following is a PBE-GGA calculation of an optimized crystal structure of Sr2Ge4Ir3, from Alexandria.

Computed properties:
M_tot	0.0	μB per formula unit
mass density	9.166	Mg/m³
energy relative to the elements	-0.478	eV per atom
total energy	-52.7	eV per cell

Cell lengths 8.207, 7.080, 5.824 Å; angles 78.33, 57.65, 44.02 degrees
Atoms (fractional coordinates):
1 Sr 0.132 0.132 0.868
2 Sr 0.868 0.868 0.132
3 Ge 0.183 0.525 0.475
4 Ge 0.475 0.817 0.183
5 Ge 0.525 0.183 0.817
6 Ge 0.817 0.475 0.525
7 Ir 0.000 0.000 0.500
8 Ir 0.500 0.500 0.000
9 Ir 0.500 0.500 0.500


[12]
The following is a PBE-GGA calculation of an optimized crystal structure of Nd2MgTc, from Alexandria.

Computed properties:
M_tot	0.7	μB per formula unit
mass density	6.527	Mg/m³
energy relative to the elements	0.664	eV per atom
total energy	-18.8	eV per cell

Cell lengths 11.437, 11.437, 11.437 Å; angles 16.44, 16.44, 16.44 degrees
Atoms (fractional coordinates):
1 Nd 0.078 0.078 0.078
2 Nd 0.922 0.922 0.922
3 Mg 0.500 0.500 0.500
4 Tc 0.000 0.000 0.000


[13]
The following is a PBE-GGA calculation of an optimized crystal structure of SrCd2Te, from Alexandria.

Computed properties:
uncorrected formation energy	-0.482	eV/atom
M_tot	0.0	μB per formula unit
mass density	5.760	Mg/m³
total energy	-8.6	eV per cell

Cell lengths 5.640, 5.640, 5.640 Å; angles 60.00, 60.00, 60.00 degrees
Atoms (fractional coordinates):
1 Sr 0.000 0.000 0.000
2 Cd 0.500 0.500 0.500
3 Cd 0.750 0.750 0.750
4 Te 0.250 0.250 0.250


[14]
The following is a PBE-GGA calculation of an optimized crystal structure of RbAs2, from Alexandria.

Computed properties:
M_tot	0.0	μB per formula unit
mass density	4.779	Mg/m³
energy relative to the elements	-0.214	eV per atom
total energy	-10.9	eV per cell

Cell lengths 6.712, 6.712, 6.712 Å; angles 148.61, 148.61, 44.98 degrees
Atoms (fractional coordinates):
1 Rb 0.000 0.000 0.000
2 As 0.287 0.287 0.000
3 As 0.713 0.713 0.000


[15]
The following is a PBE-GGA calculation of an optimized crystal structure of AlZn2Cu4, from Alexandria.

Computed properties:
M_tot	0.0	μB per formula unit
mass density	7.301	Mg/m³
energy relative to the elements	-0.104	eV per atom
total energy	-46.8	eV per cell

Cell lengths 4.208, 7.284, 7.317 Å; angles 62.41, 73.55, 73.31 degrees
Atoms (fractional coordinates):
1 Al 0.098 0.153 0.153
2 Al 0.902 0.847 0.847
3 Zn 0.318 0.435 0.430
4 Zn 0.500 0.000 0.500
5 Zn 0.500 0.500 0.000
6 Zn 0.682 0.565 0.570
7 Cu 0.105 0.477 0.811
8 Cu 0.107 0.810 0.476
9 Cu 0.301 0.788 0.108
10 Cu 0.302 0.114 0.781
11 Cu 0.698 0.886 0.219
12 Cu 0.699 0.212 0.892
13 Cu 0.893 0.190 0.524
14 Cu 0.895 0.523 0.189


[16]
The following is a PBE-GGA calculation of an optimized crystal structure of SrFeSn2, from Alexandria.

Computed properties:
M_tot	0.0	μB per formula unit
mass density	7.023	Mg/m³
energy relative to the elements	0.277	eV per atom
total energy	-17.0	eV per cell

Cell lengths 5.031, 5.031, 5.031 Å; angles 60.00, 60.00, 60.00 degrees
Atoms (fractional coordinates):
1 Sr 0.000 0.000 0.000
2 Fe 0.500 0.500 0.500
3 Sn 0.250 0.250 0.250
4 Sn 0.750 0.750 0.750


[17]
The following is a PBE-GGA calculation of an optimized crystal structure of In2MoPt, from Alexandria.

Computed properties:
M_tot	0.0	μB per formula unit
mass density	11.930	Mg/m³
energy relative to the elements	0.001	eV per atom
total energy	-22.3	eV per cell
energy relative to the lowest polymorph listed for this composition	0.016	eV/atom

Cell lengths 4.467, 4.467, 3.632 Å; angles 90.00, 90.00, 90.00 degrees
Atoms (fractional coordinates):
1 In 0.000 0.500 0.000
2 In 0.500 0.000 0.000
3 Mo 0.000 0.000 0.500
4 Pt 0.500 0.500 0.500


[18]
The following is a PBE-GGA calculation of an optimized crystal structure of ThGa2Pd2Au, from Alexandria.

Computed properties:
M_tot	0.0	μB per formula unit
mass density	10.011	Mg/m³
energy relative to the elements	-0.153	eV per atom
total energy	-28.1	eV per cell

Cell lengths 4.742, 4.742, 5.763 Å; angles 90.00, 90.00, 90.00 degrees
Atoms (fractional coordinates):
1 Th 0.000 0.000 0.000
2 Ga 0.000 0.500 0.500
3 Ga 0.500 0.000 0.500
4 Pd 0.500 0.500 0.239
5 Pd 0.500 0.500 0.761
6 Au 0.000 0.000 0.500


[19]
The following is a PBE-GGA calculation of an optimized crystal structure of BaNaHg2Pb2, from Alexandria.

Computed properties:
M_tot	0.0	μB per formula unit
mass density	8.720	Mg/m³
energy relative to the elements	-0.305	eV per atom
total energy	-13.1	eV per cell

Cell lengths 5.156, 5.156, 8.072 Å; angles 90.00, 90.00, 120.00 degrees
Atoms (fractional coordinates):
1 Ba 0.000 0.000 0.000
2 Na 0.000 0.000 0.500
3 Hg 0.333 0.667 0.308
4 Hg 0.667 0.333 0.692
5 Pb 0.333 0.667 0.738
6 Pb 0.667 0.333 0.262


[20]
The following is a PBE-GGA calculation of an optimized crystal structure of SmLuOsPt, from Alexandria.

Computed properties:
M_tot	0.0	μB per formula unit
mass density	14.399	Mg/m³
energy relative to the elements	-0.618	eV per atom
total energy	-29.0	eV per cell

Cell lengths 4.876, 4.876, 4.876 Å; angles 60.00, 60.00, 60.00 degrees
Atoms (fractional coordinates):
1 Sm 0.000 0.000 0.000
2 Lu 0.500 0.500 0.500
3 Os 0.250 0.250 0.250
4 Pt 0.750 0.750 0.750


[21]
The following is a PBE-GGA calculation of an optimized crystal structure of Ba2MgBr, from Alexandria.

Computed properties:
uncorrected formation energy	-0.589	eV/atom
M_tot	0.0	μB per formula unit
mass density	3.210	Mg/m³
total energy	-18.9	eV per cell
energy relative to the lowest polymorph listed for this composition	0.161	eV/atom

Cell lengths 7.986, 7.986, 7.986 Å; angles 110.19, 110.19, 108.04 degrees
Atoms (fractional coordinates):
1 Ba 0.097 0.125 0.472
2 Ba 0.375 0.903 0.028
3 Ba 0.653 0.625 0.528
4 Ba 0.875 0.347 0.972
5 Mg 0.250 0.750 0.500
6 Mg 0.500 0.500 0.000
7 Br 0.000 0.000 0.000
8 Br 0.750 0.250 0.500


[22]
The following is a PBE-GGA calculation of an optimized crystal structure of SmCoGe, from Alexandria.

Computed properties:
M_tot	0.0	μB per formula unit
mass density	8.595	Mg/m³
energy relative to the elements	-0.603	eV per atom
total energy	-73.0	eV per cell

Cell lengths 7.197, 4.351, 6.958 Å; angles 90.00, 90.00, 90.00 degrees
Atoms (fractional coordinates):
1 Sm 0.023 0.250 0.186
2 Sm 0.477 0.750 0.686
3 Sm 0.523 0.250 0.314
4 Sm 0.977 0.750 0.814
5 Co 0.142 0.750 0.433
6 Co 0.358 0.250 0.933
7 Co 0.642 0.750 0.067
8 Co 0.858 0.250 0.567
9 Ge 0.194 0.250 0.609
10 Ge 0.306 0.750 0.109
11 Ge 0.694 0.250 0.891
12 Ge 0.806 0.750 0.391


[23]
The following is a PBE-GGA calculation of an optimized crystal structure of SrTeRu2, from Alexandria.

Computed properties:
uncorrected formation energy	0.368	eV/atom
M_tot	0.0	μB per formula unit
mass density	8.997	Mg/m³
total energy	-21.9	eV per cell

Cell lengths 4.661, 4.661, 3.546 Å; angles 90.00, 90.00, 90.00 degrees
Atoms (fractional coordinates):
1 Sr 0.000 0.000 0.000
2 Te 0.500 0.500 0.000
3 Ru 0.000 0.500 0.500
4 Ru 0.500 0.000 0.500


[24]
The following is a PBE-GGA calculation of an optimized crystal structure of InGe2Te4, from Alexandria.

Computed properties:
uncorrected formation energy	-0.045	eV/atom
M_tot	0.0	μB per formula unit
mass density	5.313	Mg/m³
total energy	-24.9	eV per cell

Cell lengths 6.882, 6.882, 6.882 Å; angles 103.33, 103.33, 122.62 degrees
Atoms (fractional coordinates):
1 In 0.000 0.000 0.000
2 Ge 0.250 0.750 0.500
3 Ge 0.750 0.250 0.500
4 Te 0.203 0.645 0.848
5 Te 0.355 0.203 0.558
6 Te 0.645 0.797 0.442
7 Te 0.797 0.355 0.152


[25]
The following is a PBE-GGA calculation of an optimized crystal structure of DySnHg2, from Alexandria.

Computed properties:
M_tot	0.0	μB per formula unit
mass density	10.123	Mg/m³
energy relative to the elements	-0.240	eV per atom
total energy	-10.2	eV per cell

Cell lengths 6.518, 6.518, 6.518 Å; angles 41.95, 41.95, 41.95 degrees
Atoms (fractional coordinates):
1 Dy 0.000 0.000 0.000
2 Sn 0.812 0.812 0.812
3 Hg 0.407 0.407 0.407
4 Hg 0.579 0.579 0.579